# 1
# SrGdSi4Ni2 (PBE, relaxed)
# **Crystal system**: orthorhombic
data_SrGdSi4Ni2
_chemical_formula_sum 'Sr1 Gd1 Si4 Ni2'
_space_group_name_H-M_alt 'P 1'
_space_group_IT_number 1
_cell_length_a 4.0112
_cell_length_b 8.6516
_cell_length_c 8.6516
_cell_angle_alpha 27.60
_cell_angle_beta 90.00
_cell_angle_gamma 90.00
loop_
_space_group_symop_operation_xyz
'x,y,z'
loop_
_atom_site_label
_atom_site_fract_x
_atom_site_fract_y
_atom_site_fract_z
Sr1 0.0000 0.0000 0.0000
Gd1 0.5000 0.7849 0.7849
Si1 0.0000 0.3508 0.3508
Si2 0.0000 0.6470 0.6470
Si3 0.5000 0.1467 0.1467
Si4 0.5000 0.4317 0.4317
Ni1 0.0000 0.2165 0.2165
Ni2 0.5000 0.5760 0.5760

=====

# 2
# ScCuIr2 (PBE, relaxed)
# **Crystal system**: cubic
data_ScCuIr2
_chemical_formula_sum 'Sc1 Cu1 Ir2'
_space_group_name_H-M_alt 'P 1'
_space_group_IT_number 1
_cell_length_a 4.4328
_cell_length_b 4.4328
_cell_length_c 4.4328
_cell_angle_alpha 60.00
_cell_angle_beta 60.00
_cell_angle_gamma 60.00
loop_
_space_group_symop_operation_xyz
'x,y,z'
loop_
_atom_site_label
_atom_site_fract_x
_atom_site_fract_y
_atom_site_fract_z
Sc1 0.0000 0.0000 0.0000
Cu1 0.2500 0.2500 0.2500
Ir1 0.5000 0.5000 0.5000
Ir2 0.7500 0.7500 0.7500

=====

no.,VASP energy (eV per atom)
1,-5.564
2,-7.152